# MnOF PBE with a Hubbard U relaxed
data_MnOF
_space_group_name_H-M_alt 'P 1 21/c 1'
_space_group_IT_number 14
_cell_length_a 5.105
_cell_length_b 4.736
_cell_length_c 5.858
_cell_angle_alpha 90.00
_cell_angle_beta 93.27
_cell_angle_gamma 90.00
loop_
_space_group_symop_operation_xyz
'x,y,z'
'-x,-y,-z'
'-x,y+1/2,-z+1/2'
'x,-y+1/2,z+1/2'
loop_
_atom_site_label
_atom_site_type_symbol
_atom_site_fract_x
_atom_site_fract_y
_atom_site_fract_z
Mn1 Mn 0.227 0.024 0.161
O1 O 0.074 0.213 0.897
F1 F 0.435 0.748 0.367
# density = 4.2 Mg/m³
# total moment = 16.000 μB per cell
# electronic total energy = -20.13 eV/f.u.